No. 1
# Al2SiAu PBE optimized geometry
# Symmetry: No. 166
# Final energy, eV for the cell shown: -16.47
# Crystal system: trigonal
# Density, g/cm³: 6.85
# Fermi-level density of states, states/eV per cell: 1.99
# Size of the total moment, μB/atom: 0.00
data_Al2SiAu
_symmetry_space_group_name_H-M 'P 1'
_symmetry_Int_Tables_number 1
_symmetry_space_group_name_Hall 'P 1'
_cell_length_a 7.8805
_cell_length_b 7.8805
_cell_length_c 7.8805
_cell_angle_alpha 23.37
_cell_angle_beta 23.37
_cell_angle_gamma 23.37
loop_
_atom_site_label
_atom_site_type_symbol
_atom_site_fract_x
_atom_site_fract_y
_atom_site_fract_z
Si1 Si 0.7500 0.7500 0.7500
Au1 Au 0.2500 0.2500 0.2500
Al1 Al 0.4983 0.4983 0.4983
Al2 Al 0.0017 0.0017 0.0017



No. 2
# AlSiAu2 PBE optimized geometry
# Symmetry: No. 47
# Final energy, eV for the cell shown: -15.40
# Crystal system: orthorhombic
# Density, g/cm³: 10.23
# Relative energy among the computed polymorphs, meV/atom: 169.4
# Fermi-level density of states, states/eV per cell: 1.75
# Size of the total moment, μB/atom: 0.00
data_AlSiAu2
_symmetry_space_group_name_H-M 'P 1'
_symmetry_Int_Tables_number 1
_symmetry_space_group_name_Hall 'P 1'
_cell_length_a 2.8126
_cell_length_b 5.8677
_cell_length_c 4.4153
_cell_angle_alpha 90.00
_cell_angle_beta 90.00
_cell_angle_gamma 90.00
loop_
_atom_site_label
_atom_site_type_symbol
_atom_site_fract_x
_atom_site_fract_y
_atom_site_fract_z
Al1 Al 0.0000 0.5000 0.5000
Au1 Au 0.0000 0.0000 0.0000
Si1 Si 0.5000 0.0000 0.5000
Au2 Au 0.5000 0.5000 0.0000



No. 3
# AlSi2Au2 PBE optimized geometry
# Symmetry: No. 127
# Final energy, eV for the cell shown: -40.82
# Crystal system: tetragonal
# Density, g/cm³: 8.32
# Fermi-level density of states, states/eV per cell: 4.77
# Size of the total moment, μB/atom: 0.00
data_AlSi2Au2
_symmetry_space_group_name_H-M 'P 1'
_symmetry_Int_Tables_number 1
_symmetry_space_group_name_Hall 'P 1'
_cell_length_a 6.4747
_cell_length_b 6.4747
_cell_length_c 4.5407
_cell_angle_alpha 90.00
_cell_angle_beta 90.00
_cell_angle_gamma 90.00
loop_
_atom_site_label
_atom_site_type_symbol
_atom_site_fract_x
_atom_site_fract_y
_atom_site_fract_z
Si1 Si 0.6273 0.1273 0.0000
Al1 Al 0.0000 0.0000 0.0000
Al2 Al 0.5000 0.5000 0.0000
Au1 Au 0.2733 0.7733 0.5000
Au2 Au 0.2267 0.2733 0.5000
Au3 Au 0.7733 0.7267 0.5000
Si2 Si 0.3727 0.8727 0.0000
Si3 Si 0.8727 0.6273 0.0000
Au4 Au 0.7267 0.2267 0.5000
Si4 Si 0.1273 0.3727 0.0000



No. 4
# AlSiAu2 PBE optimized geometry
# Symmetry: No. 35
# Final energy, eV for the cell shown: -15.57
# Crystal system: orthorhombic
# Density, g/cm³: 11.09
# Relative energy among the computed polymorphs, meV/atom: 127.8
# Fermi-level density of states, states/eV per cell: 1.60
# Size of the total moment, μB/atom: 0.00
data_AlSiAu2
_symmetry_space_group_name_H-M 'P 1'
_symmetry_Int_Tables_number 1
_symmetry_space_group_name_Hall 'P 1'
_cell_length_a 2.9350
_cell_length_b 2.9349
_cell_length_c 7.8081
_cell_angle_alpha 90.00
_cell_angle_beta 90.00
_cell_angle_gamma 91.40
loop_
_atom_site_label
_atom_site_type_symbol
_atom_site_fract_x
_atom_site_fract_y
_atom_site_fract_z
Al1 Al 0.5000 0.5000 0.7454
Si1 Si 0.0000 0.0000 0.5098
Au1 Au 0.5000 0.5000 0.2699
Au2 Au 0.0000 0.0000 0.9749



No. 5
# AlSiAu2 PBE optimized geometry
# Symmetry: No. 225
# Final energy, eV for the cell shown: -15.36
# Crystal system: cubic
# Density, g/cm³: 10.91
# Relative energy among the computed polymorphs, meV/atom: 181.6
# Fermi-level density of states, states/eV per cell: 2.63
# Size of the total moment, μB/atom: 0.00
data_AlSiAu2
_symmetry_space_group_name_H-M 'P 1'
_symmetry_Int_Tables_number 1
_symmetry_space_group_name_Hall 'P 1'
_cell_length_a 4.5887
_cell_length_b 4.5887
_cell_length_c 4.5887
_cell_angle_alpha 60.00
_cell_angle_beta 60.00
_cell_angle_gamma 60.00
loop_
_atom_site_label
_atom_site_type_symbol
_atom_site_fract_x
_atom_site_fract_y
_atom_site_fract_z
Au1 Au 0.7500 0.7500 0.7500
Si1 Si 0.5000 0.5000 0.5000
Au2 Au 0.2500 0.2500 0.2500
Al1 Al 0.0000 0.0000 0.0000



No. 6
# Al2SiAu PBE optimized geometry
# Symmetry: No. 8
# Final energy, eV for the cell shown: -16.56
# Crystal system: monoclinic
# Density, g/cm³: 6.40
# Fermi-level density of states, states/eV per cell: 1.01
# Size of the total moment, μB/atom: 0.00
data_Al2SiAu
_symmetry_space_group_name_H-M 'P 1'
_symmetry_Int_Tables_number 1
_symmetry_space_group_name_Hall 'P 1'
_cell_length_a 6.5124
_cell_length_b 6.5124
_cell_length_c 4.0535
_cell_angle_alpha 107.96
_cell_angle_beta 107.96
_cell_angle_gamma 26.38
loop_
_atom_site_label
_atom_site_type_symbol
_atom_site_fract_x
_atom_site_fract_y
_atom_site_fract_z
Al1 Al 0.9518 0.9518 0.9511
Au1 Au 0.5195 0.5195 0.5183
Si1 Si 0.7278 0.7278 0.7293
Al2 Al 0.3009 0.3009 0.3013



No. 7
# Al3SiAu6 PBE optimized geometry
# Symmetry: No. 11
# Final energy, eV for the cell shown: -76.68
# Crystal system: monoclinic
# Density, g/cm³: 11.56
# Fermi-level density of states, states/eV per cell: 3.28
# Size of the total moment, μB/atom: 0.00
data_Al3SiAu6
_symmetry_space_group_name_H-M 'P 1'
_symmetry_Int_Tables_number 1
_symmetry_space_group_name_Hall 'P 1'
_cell_length_a 4.3240
_cell_length_b 10.3477
_cell_length_c 12.4074
_cell_angle_alpha 138.09
_cell_angle_beta 90.00
_cell_angle_gamma 90.00
loop_
_atom_site_label
_atom_site_type_symbol
_atom_site_fract_x
_atom_site_fract_y
_atom_site_fract_z
Au1 Au 0.2500 0.8714 0.0170
Al1 Al 0.7500 0.1264 0.2058
Au2 Au 0.7500 0.8982 0.2354
Al2 Al 0.2500 0.6463 0.4385
Al3 Al 0.7500 0.8732 0.4585
Au3 Au 0.7500 0.4873 0.0751
Au4 Au 0.2500 0.2074 0.3938
Si1 Si 0.2500 0.3608 0.0704
Au5 Au 0.7500 0.1286 0.9830
Au6 Au 0.7500 0.7926 0.6062
Au7 Au 0.2500 0.1018 0.7646
Al4 Al 0.7500 0.3537 0.5615
Au8 Au 0.2500 0.2816 0.2153
Al5 Al 0.2500 0.8736 0.7942
Au9 Au 0.7500 0.2476 0.7065
Au10 Au 0.2500 0.5127 0.9249
Au11 Au 0.2500 0.7524 0.2935
Si2 Si 0.7500 0.6392 0.9296
Au12 Au 0.7500 0.7184 0.7847
Al6 Al 0.2500 0.1268 0.5415



No. 8
# Sm2AlSi3Au4 PBE optimized geometry
# Symmetry: No. 115
# Final energy, eV for the cell shown: -48.87
# Crystal system: tetragonal
# Density, g/cm³: 10.28
# Fermi-level density of states, states/eV per cell: 3.68
# Size of the total moment, μB/atom: 0.00
data_Sm2AlSi3Au4
_symmetry_space_group_name_H-M 'P 1'
_symmetry_Int_Tables_number 1
_symmetry_space_group_name_Hall 'P 1'
_cell_length_a 4.2652
_cell_length_b 4.2652
_cell_length_c 10.6512
_cell_angle_alpha 90.00
_cell_angle_beta 90.00
_cell_angle_gamma 90.00
loop_
_atom_site_label
_atom_site_type_symbol
_atom_site_fract_x
_atom_site_fract_y
_atom_site_fract_z
Sm1 Sm 0.5000 0.0000 0.2399
Si1 Si 0.5000 0.0000 0.8641
Au1 Au 0.0000 0.0000 0.0000
Si2 Si 0.0000 0.5000 0.1359
Au2 Au 0.5000 0.5000 0.0000
Al1 Al 0.5000 0.5000 0.5000
Au3 Au 0.0000 0.5000 0.3655
Au4 Au 0.5000 0.0000 0.6345
Si3 Si 0.0000 0.0000 0.5000
Sm2 Sm 0.0000 0.5000 0.7601